(1)
First-principles (PBE) data for a relaxed structure of AcPmGe, as listed in Alexandria via LeMat-Bulk.

a = 4.9231 Å, b = 4.9231 Å, c = 4.6709 Å
α = 90.00°, β = 90.00°, γ = 120.00°
Closest atoms and distances in Å follow each position.
Positions (direct):
1 Ac 0.0000 0.0000 0.0000  3 Ge 3.40, 6 Pm 3.62-3.74
2 Pm 0.6667 0.3333 0.5217  3 Ge 2.90
3 Ge 0.3333 0.6667 0.4001  3 Pm 2.90

## Properties
ΔH_f (0 K): -0.385 eV per atom
VASP energy: -14.63 eV/cell
Energy above the lowest structure with this stoichiometry: 159 meV per atom
V: 98.0 Å³/cell



(2)
First-principles (PBE) data for a relaxed structure of BaSbSe, as listed in Alexandria via LeMat-Bulk.

a = 6.5597 Å, b = 6.5597 Å, c = 6.5597 Å
α = 143.30°, β = 136.08°, γ = 58.53°
Closest atoms and distances in Å follow each position.
Positions (direct):
1 Ba 0.0000 0.0000 0.0000  4 Se 3.32, 4 Sb 3.66
2 Sb 0.3464 0.3464 0.0000  1 Se 2.62
3 Se 0.5749 0.5749 0.0000  1 Sb 2.62

## Properties
VASP energy: -12.20 eV/cell
Uncorrected formation energy: -0.891 eV per atom
V: 116.0 Å³/cell